# 1
Density functional theory data (GGA-PBE) for a geometry-optimized WBr2Cl structure.

Energy relative to the lowest polymorph listed for this composition   0.000 eV/atom
V   124.0 Å³/cell
Uncorrected formation energy   -0.26 eV/atom

Unit cell a=3.355 b=4.667 c=8.096 alpha=88.85 beta=78.11 gamma=89.99
Space group P-1 (No. 2)
Asymmetric unit:
W  0.000  0.000  0.000 [1 per cell]
Br  0.375  0.991  0.252 [2 per cell]
Cl  0.000  0.500  0.000 [1 per cell]

=====

# 2
Density functional theory data (GGA-PBE) for a geometry-optimized AcLaBi2 structure.

Energy relative to the lowest polymorph listed for this composition   0.103 eV/atom
V   474.9 Å³/cell
Formation energy from the elements   -3.70 eV/f.u.

Unit cell a=4.7307 b=4.7307 c=24.5060 alpha=90.00 beta=90.00 gamma=120.00
Space group R3m (No. 160, hexagonal axes)
Asymmetric unit:
Ac  0.0000  0.0000  0.0000 [3 per cell]
La  0.0000  0.0000  0.8294 [3 per cell]
Bi  0.0000  0.0000  0.2440 [3 per cell]
Bi  0.0000  0.0000  0.4189 [3 per cell]

=====

# 3
Density functional theory data (GGA-PBE) for a geometry-optimized CrCuRe3 structure.

Energy relative to the lowest polymorph listed for this composition   0.000 eV/atom
V   86.9 Å³/cell
Formation energy from the elements   8.73 eV/f.u.

Unit cell a=4.429 b=4.429 c=4.429 alpha=90.00 beta=90.00 gamma=90.00
Space group Pm-3m (No. 221)
Asymmetric unit:
Cr  0.000  0.000  0.000 [1 per cell]
Cu  0.500  0.500  0.500 [1 per cell]
Re  0.000  0.000  0.500 [3 per cell]

=====

# 4
Density functional theory data (GGA-PBE) for a geometry-optimized La6Bi2Os structure.

V   621.4 Å³/cell
Formation energy from the elements   -4.34 eV/f.u.

Unit cell a=6.891 b=10.230 c=10.324 alpha=90.00 beta=121.37 gamma=90.00
Space group P2_1/c (No. 14)
Asymmetric unit:
La  0.121  0.144  0.471 [4 per cell]
La  0.317  0.747  0.450 [4 per cell]
La  0.323  0.022  0.191 [4 per cell]
Bi  0.179  0.083  0.814 [4 per cell]
Os  0.500  0.000  0.500 [2 per cell]

=====

# 5
Density functional theory data (GGA-PBE) for a geometry-optimized La2NdTm structure.

Energy relative to the lowest polymorph listed for this composition   0.015 eV/atom
V   417.4 Å³/cell
Formation energy from the elements   0.11 eV/f.u.

Unit cell a=3.6695 b=3.6695 c=35.7963 alpha=90.00 beta=90.00 gamma=120.00
Space group R3m (No. 160, hexagonal axes)
Asymmetric unit:
La  0.0000  0.0000  0.0000 [3 per cell]
La  0.0000  0.0000  0.1704 [3 per cell]
Nd  0.0000  0.0000  0.4174 [3 per cell]
Tm  0.0000  0.0000  0.5858 [3 per cell]

=====

# 6
Density functional theory data (GGA-PBE) for a geometry-optimized Dy2TcBr structure.

Energy relative to the lowest polymorph listed for this composition   0.000 eV/atom
V   95.3 Å³/cell
Uncorrected formation energy   -0.60 eV/atom

Unit cell a=3.457 b=3.457 c=7.973 alpha=90.00 beta=90.00 gamma=90.00
Space group P4/mmm (No. 123)
Asymmetric unit:
Dy  0.000  0.000  0.204 [2 per cell]
Tc  0.500  0.500  0.000 [1 per cell]
Br  0.500  0.500  0.500 [1 per cell]